Tm4AsS3 (PBE-GGA, optimized geometry); energy relative to the elements, uncorrected = -178.2 kJ/mol of atoms
1.0
-2.1279 -2.1937 -4.5905
0.0533 -4.9851 2.3576
-5.0874 0.8654 1.9447
Tm S As
4 3 1
direct
0.0000 0.5000 0.0000
0.5000 0.0000 0.0000
0.5000 0.5000 0.5000
0.0000 0.0000 0.5000
0.0000 0.5000 0.5000
0.5000 0.0000 0.5000
0.5000 0.5000 0.0000
0.0000 0.0000 0.0000